{
  "formula": "Pm3RhPb2",
  "functional": "PBE",
  "state": "optimized geometry",
  "relative_energy_ev_per_fu": 0.76,
  "total_energy_ev_per_atom": -5.336,
  "mass_density_g_cm3": 9.15,
  "formation_enthalpy_0k_ev_per_atom": -0.499,
  "lattice_angstrom": [[6.3125, 0.0000, 0.0000], [0.0000, 8.4192, 0.0651], [-3.1563, -2.0550, 6.4890]],
  "species": ["Pm", "Pm", "Pm", "Pm", "Pm", "Pm", "Rh", "Rh", "Pb", "Pb", "Pb", "Pb"],
  "frac_coords": [[0.9468, 0.8654, 0.6737], [0.3146, 0.2500, 0.0000], [0.2731, 0.6346, 0.3263], [0.0532, 0.1346, 0.3263], [0.7269, 0.3654, 0.6737], [0.6854, 0.7500, 0.0000], [0.8549, 0.2500, 0.0000], [0.1451, 0.7500, 0.0000], [0.4741, 0.9901, 0.7012], [0.7729, 0.5099, 0.2988], [0.2271, 0.4901, 0.7012], [0.5259, 0.0099, 0.2988]]
}